Entry from Alexandria via LeMat-Bulk: FeSbAuF2 after structural relaxation (PBE with a Hubbard U).

V in Å³/f.u.: 100.12
Raw total energy in eV/atom: -4.55
Offset from the most stable computed form in meV per atom: 0
Space-group type: P4/mmm

Cell lengths 3.9345, 6.4674, 3.9345 Å; angles 90.00, 90.00, 90.00 degrees
Last column: nearest neighbours and their distance in Å.
Positions (direct):
Au1 0.5000 0.5000 0.5000  4 Sb 2.78
Sb1 0.0000 0.5000 0.0000  4 Au 2.78
F1 0.5000 0.0000 0.0000  2 Fe 1.97
Fe1 0.0000 0.0000 0.0000  4 F 1.97
F2 0.0000 0.0000 0.5000  2 Fe 1.97